# PBE+U Na2V2WO6, optimized geometry
data_Na2V2WO6
_chemical_formula_sum 'Na4 V4 W2 O12'
_symmetry_space_group_name_H-M 'C 1 2/m 1'
_symmetry_Int_Tables_number 12
_cell_length_a 5.479
_cell_length_b 9.066
_cell_length_c 5.883
_cell_angle_alpha 90.00
_cell_angle_beta 108.87
_cell_angle_gamma 90.00
loop_
_symmetry_equiv_pos_as_xyz
'x,y,z'
'-x,-y,-z'
'-x,y,-z'
'x,-y,z'
'x+1/2,y+1/2,z'
'-x+1/2,-y+1/2,-z'
'-x+1/2,y+1/2,-z'
'x+1/2,-y+1/2,z'
loop_
_atom_site_label
_atom_site_type_symbol
_atom_site_fract_x
_atom_site_fract_y
_atom_site_fract_z
Na1 Na 0.000 0.177 0.000
V1 V 0.000 0.345 0.500
W1 W 0.000 0.000 0.500
O1 O 0.218 0.165 0.690
O2 O 0.242 0.000 0.294
# total energy: -6.89 eV per atom
# crystal system: monoclinic